[1]
# Sr2HoWN4 (PBE, relaxed)
# * total energy: -7.779 eV/atom
# * SG: Pmn2_1 (31)
# * size of the total moment: 1.0 μB/f.u.
# * ΔE_f (raw): -8.04 eV/f.u.
data_Sr2HoWN4
_chemical_formula_sum 'Sr4 Ho2 W2 N8'
_cell_length_a 5.655
_cell_length_b 6.960
_cell_length_c 7.638
_cell_angle_alpha 90.00
_cell_angle_beta 90.00
_cell_angle_gamma 90.00
_symmetry_space_group_name_H-M 'P 1'
_symmetry_Int_Tables_number 1
_symmetry_space_group_name_Hall 'P 1'
loop_
_atom_site_label
_atom_site_type_symbol
_atom_site_fract_x
_atom_site_fract_y
_atom_site_fract_z
_atom_site_occupancy
Sr1 Sr 0.471 0.338 0.246 1
Sr2 Sr 0.971 0.662 0.746 1
Sr3 Sr 0.471 0.338 0.754 1
Sr4 Sr 0.971 0.662 0.254 1
Ho1 Ho 0.984 0.161 0.500 1
Ho2 Ho 0.484 0.839 0.000 1
N1 N 0.931 0.282 0.788 1
N2 N 0.878 0.894 0.000 1
N3 N 0.431 0.718 0.712 1
N4 N 0.833 0.872 0.500 1
N5 N 0.931 0.282 0.212 1
N6 N 0.378 0.106 0.500 1
N7 N 0.431 0.718 0.288 1
N8 N 0.333 0.128 0.000 1
W1 W 0.003 0.149 0.000 1
W2 W 0.503 0.851 0.500 1

---

[2]
# HoSnHgI6 (PBE, relaxed)
# * total energy: -2.772 eV/atom
# * SG: P312 (149)
# * size of the total moment: 0.0 μB/f.u.
# * ΔE_f (raw): -6.77 eV/f.u.
data_HoSnHgI6
_chemical_formula_sum 'Ho1 Sn1 Hg1 I6'
_cell_length_a 7.681
_cell_length_b 7.682
_cell_length_c 8.961
_cell_angle_alpha 90.00
_cell_angle_beta 89.99
_cell_angle_gamma 60.01
_symmetry_space_group_name_H-M 'P 1'
_symmetry_Int_Tables_number 1
_symmetry_space_group_name_Hall 'P 1'
loop_
_atom_site_label
_atom_site_type_symbol
_atom_site_fract_x
_atom_site_fract_y
_atom_site_fract_z
_atom_site_occupancy
I1 I 0.352 0.003 0.697 1
I2 I 0.003 0.645 0.697 1
I3 I 0.645 0.352 0.697 1
I4 I 0.645 0.003 0.303 1
I5 I 0.003 0.352 0.303 1
I6 I 0.352 0.645 0.303 1
Sn1 Sn 0.667 0.667 0.500 1
Ho1 Ho 0.333 0.333 0.500 1
Hg1 Hg 0.000 0.000 0.000 1